The following is a DFT calculation (GGA-PBE) of Li2Sm2DySi2 after structural relaxation.

Cell and atoms, written as POSCAR:
```
Li2Sm2DySi2
1.0
-2.263 0.301 3.782
1.812 -1.404 3.776
3.383 8.070 3.961
Si Sm Li Dy
2 2 2 1
direct
0.269 0.269 0.193
0.731 0.731 0.807
0.876 0.876 0.373
0.124 0.124 0.627
0.392 0.392 0.824
0.608 0.608 0.176
0.000 0.000 0.000
```

Calculated volume in Å³/atom: 22.35
Space-group type: R-3m
Density in g cm⁻³: 5.66
DOS(E_F) in states/eV/atom: 0.450

***

The following is a DFT calculation (GGA-PBE) of Li2SmDy2Si2 after structural relaxation.

Cell and atoms, written as POSCAR:
```
Li2SmDy2Si2
1.0
4.463 0.000 0.000
2.232 3.865 0.000
2.232 1.288 8.860
Si Dy Sm Li
2 2 1 2
direct
0.261 0.261 0.218
0.739 0.739 0.782
0.128 0.128 0.617
0.872 0.872 0.383
0.000 0.000 0.000
0.597 0.597 0.209
0.403 0.403 0.791
```

Calculated volume in Å³/atom: 21.84
Space-group type: R-3m
Density in g cm⁻³: 5.92
DOS(E_F) in states/eV/atom: 0.463

***

The following is a DFT calculation (GGA-PBE) of LiSmDySi after structural relaxation.

Cell and atoms, written as POSCAR:
```
LiSmDySi
1.0
-1.710 2.302 4.125
-1.342 -2.707 4.013
2.812 0.113 4.161
Li Dy Sm Si
1 1 1 1
direct
0.250 0.250 0.250
0.000 0.000 0.000
0.500 0.500 0.500
0.750 0.750 0.750
```

Calculated volume in Å³/atom: 22.41
Space-group type: F-43m
Density in g cm⁻³: 6.44
DOS(E_F) in states/eV/atom: 0.537

***

Across the entries above, final energy takes the values -4.50 -4.48 -4.52 eV per atom, respectively.